TbSm3Er6Th2 (PBE, optimized geometry); final energy = -60.77 eV/cell; SG = C2/m (12); DFT formation energy = 0.020 eV/atom
1.0
3.085 -5.340 0.000
3.085 5.340 0.000
-2.060 0.000 11.520
Tb Sm Er Th
1 3 6 2
direct
0.000 0.000 0.000
0.166 0.834 0.500
0.500 0.500 0.500
0.834 0.166 0.500
0.082 0.420 0.246
0.255 0.255 0.754
0.420 0.082 0.246
0.580 0.918 0.754
0.745 0.745 0.246
0.918 0.580 0.754
0.333 0.667 0.000
0.667 0.333 0.000